{"formula": "Li2NiPbO4", "functional": "PBE+U", "state": "relaxed", "total_magnetization_mub_per_cell": 4.00, "mass_density_g_cm3": 6.62, "total_energy_ev_per_atom": -5.08, "cell": [[-5.512, 0.145, 2.870], [-0.985, -6.036, -1.108], [5.122, 1.808, 3.018]], "species": ["Li", "O", "Ni", "O", "O", "Pb", "O", "Pb", "O", "Li", "O", "Li", "O", "Li", "Ni", "O"], "frac_coords": [[0.000, 0.000, 0.500], [0.249, 0.251, 0.999], [0.000, 0.500, 0.500], [0.228, 0.732, 0.980], [0.232, 0.728, 0.480], [0.000, 0.000, 0.000], [0.772, 0.268, 0.020], [0.500, 0.500, 0.500], [0.768, 0.272, 0.520], [0.500, 0.000, 0.000], [0.751, 0.749, 0.001], [0.500, 0.500, 0.000], [0.249, 0.251, 0.501], [0.500, 0.000, 0.500], [0.000, 0.500, 0.000], [0.751, 0.749, 0.499]]}